This record from the Alexandria database describes a relaxed InPt6Au crystal. The functional is PBE.

Space group: P4/mmm (123)
Total energy (eV per atom): -5.426
Total magnetic moment (μB/f.u.): 0.0

Geometry as POSCAR:
```
InPt6Au
1.0
4.0265 0.0000 0.0000
0.0000 4.0265 0.0000
0.0000 0.0000 8.0878
In Pt Au
1 6 1
Direct
0.0000 0.0000 0.0000
0.0000 0.5000 0.2495
0.0000 0.5000 0.7505
0.5000 0.0000 0.2495
0.5000 0.0000 0.7505
0.5000 0.5000 0.0000
0.5000 0.5000 0.5000
0.0000 0.0000 0.5000
```

***

This record from the Alexandria database describes a relaxed Ba4InH crystal. The functional is PBE.

Space group: Pmmn (59)
Relative energy among the computed polymorphs (eV per formula unit): 0.00
Total magnetic moment (μB/f.u.): 0.0

Geometry as POSCAR:
```
Ba4InH
1.0
5.8038 0.0000 0.0000
0.0000 10.7888 0.0000
0.0000 0.0000 8.2964
Ba In H
8 2 2
Direct
0.2500 0.0496 0.1911
0.2500 0.2500 0.7422
0.2500 0.4504 0.1911
0.2500 0.7500 0.5844
0.7500 0.2500 0.4156
0.7500 0.5496 0.8089
0.7500 0.7500 0.2578
0.7500 0.9504 0.8089
0.2500 0.7500 0.9953
0.7500 0.2500 0.0047
0.2500 0.2500 0.4015
0.7500 0.7500 0.5985
```

***

This record from the Alexandria database describes a relaxed Cs3Cu2HgF9 crystal. The functional is PBE.

Space group: P-3m1 (164)
Total energy (eV per atom): -3.875
Total magnetic moment (μB/f.u.): 2.0

Geometry as POSCAR:
```
Cs3Cu2HgF9
1.0
6.1767 0.0000 0.0000
-3.0883 5.3491 0.0000
0.0000 0.0000 7.5981
Cs Cu Hg F
3 2 1 9
Direct
0.0000 0.0000 0.0000
0.3333 0.6667 0.6667
0.6667 0.3333 0.3333
0.3333 0.6667 0.1518
0.6667 0.3333 0.8482
0.0000 0.0000 0.5000
0.0000 0.5000 0.0000
0.1782 0.3564 0.3146
0.1782 0.8218 0.3146
0.3564 0.1782 0.6854
0.5000 0.0000 0.0000
0.5000 0.5000 0.0000
0.6436 0.8218 0.3146
0.8218 0.1782 0.6854
0.8218 0.6436 0.6854
```